VASP calculation (PBE) on a relaxed LaCeSi crystal.

Cell: 4.6417 4.6417 4.1053 Å, 90.00 90.00 120.00°
Last column: nearest neighbours and their distance in Å.
Space group P3m1 (No. 156)
Inequivalent atoms, fractional coordinates:
1 La 0.0000 0.0000 0.0000  3 Si 3.01, 3 Ce 3.09
2 Ce 0.3333 0.6667 0.6232  3 Si 2.93, 3 La 3.09
3 Si 0.6667 0.3333 0.3357  3 Ce 2.93, 3 La 3.01

Properties
**Raw formation energy**: -7.0 kcal/mol of atoms
**Total magnetization**: 0.57 μB per formula unit
**Distance to the lowest polymorph of the same formula**: 0.72 eV per formula unit
**VASP energy**: -0.4214 Ry/atom